{
  "formula": "NaCr2H",
  "functional": "PBE-GGA",
  "state": "optimized geometry",
  "relative_energy_kcal_per_mol_atoms": 0.00,
  "cell": [[-1.343, -5.152, 0.152], [4.753, -1.178, 2.095], [0.295, -2.695, 4.588]],
  "species": ["Na", "Na", "Cr", "Cr", "Cr", "Cr", "H", "H"],
  "frac_coords": [[0.750, 0.250, 0.500], [0.000, 0.000, 0.000], [0.875, 0.625, 0.750], [0.375, 0.125, 0.250], [0.375, 0.625, 0.250], [0.375, 0.625, 0.750], [0.250, 0.750, 0.500], [0.500, 0.500, 0.000]]
}

---

{
  "formula": "Ba3CdSb",
  "functional": "PBE-GGA",
  "state": "optimized geometry",
  "relative_energy_kcal_per_mol_atoms": 0.00,
  "cell": [[-1.774, -6.172, -1.833], [5.838, -2.343, 2.241], [-2.715, -1.007, 6.018]],
  "species": ["Ba", "Ba", "Ba", "Cd", "Sb"],
  "frac_coords": [[0.000, 0.500, 0.000], [0.500, 0.000, 0.000], [0.000, 0.000, 0.500], [0.500, 0.500, 0.500], [0.000, 0.000, 0.000]]
}

---

{
  "formula": "NaPrHgPt",
  "functional": "PBE-GGA",
  "state": "optimized geometry",
  "delta_e_f_ev_per_atom": -0.4821,
  "cell": [[5.127, 0.000, 0.000], [2.564, 4.440, 0.000], [2.564, 1.480, 4.186]],
  "species": ["Pr", "Pt", "Hg", "Na"],
  "frac_coords": [[0.500, 0.500, 0.500], [0.750, 0.750, 0.750], [0.250, 0.250, 0.250], [0.000, 0.000, 0.000]]
}

---

{
  "formula": "HoTh2SbN5",
  "functional": "PBE-GGA",
  "state": "optimized geometry",
  "total_energy_ev_per_cell": -148.0,
  "cell": [[-3.072, 0.641, 1.903], [2.318, -6.522, 2.400], [6.144, 5.189, 8.168]],
  "species": ["Th", "Th", "Th", "Th", "N", "N", "N", "N", "N", "N", "N", "N", "N", "N", "Ho", "Ho", "Sb", "Sb"],
  "frac_coords": [[0.866, 0.732, 0.744], [0.136, 0.272, 0.708], [0.134, 0.268, 0.244], [0.864, 0.728, 0.208], [0.062, 0.123, 0.040], [0.283, 0.565, 0.341], [0.716, 0.432, 0.137], [0.284, 0.568, 0.637], [0.535, 0.070, 0.311], [0.378, 0.756, 0.072], [0.938, 0.877, 0.540], [0.717, 0.435, 0.841], [0.622, 0.244, 0.572], [0.465, 0.930, 0.811], [0.230, 0.461, 0.986], [0.770, 0.539, 0.486], [0.506, 0.011, 0.984], [0.494, 0.989, 0.484]]
}

---

{
  "formula": "LaZn2GaGe",
  "functional": "PBE-GGA",
  "state": "optimized geometry",
  "delta_e_f_ev_per_atom": -0.4770,
  "cell": [[-1.874, 2.317, 3.186], [-3.069, -3.036, 0.403], [5.443, -2.169, 1.793]],
  "species": ["La", "Ge", "Ga", "Zn", "Zn"],
  "frac_coords": [[0.438, 0.438, 0.875], [0.833, 0.833, 0.666], [0.188, 0.688, 0.377], [0.687, 0.187, 0.375], [0.066, 0.066, 0.132]]
}

---

{
  "formula": "SmThPd2",
  "functional": "PBE-GGA",
  "state": "optimized geometry",
  "delta_e_f_ev_per_atom": -0.7062,
  "relative_energy_kcal_per_mol_atoms": 2.28,
  "cell": [[-2.102, -4.426, -1.425], [2.678, -4.329, 0.358], [-1.240, -3.484, 3.515]],
  "species": ["Sm", "Th", "Pd", "Pd"],
  "frac_coords": [[0.500, 0.500, 0.500], [0.000, 0.000, 0.000], [0.750, 0.750, 0.750], [0.250, 0.250, 0.250]]
}